First-principles (GGA-PBE) data for a relaxed structure of Cd2OsSeS, as listed in the Alexandria database.

```
Cd2OsSeS
1.0
5.155 0.000 0.000
0.000 5.155 0.000
0.000 0.000 4.827
Cd Os Se S
2 1 1 1
direct
0.000 0.500 0.000 Cd
0.500 0.000 0.000 Cd
0.000 0.000 0.500 Os
0.500 0.500 0.000 Se
0.500 0.500 0.500 S
```

Values from the calculation:
ΔE_f (raw): 1.4407 eV/atom
Total DFT energy (no corrections): -2.6937 eV/atom
Fermi-level density of states: 2.72 states/eV per cell

---

First-principles (GGA-PBE) data for a relaxed structure of TlReSe2, as listed in the Alexandria database.

```
TlReSe2
1.0
3.274 0.000 0.000
-1.637 2.835 0.000
0.000 0.000 28.832
Tl Re Se
3 3 6
direct
0.000 0.000 0.000 Tl
0.333 0.667 0.667 Tl
0.667 0.333 0.333 Tl
0.000 0.000 0.747 Re
0.333 0.667 0.414 Re
0.667 0.333 0.080 Re
0.000 0.000 0.255 Se
0.000 0.000 0.468 Se
0.333 0.667 0.135 Se
0.333 0.667 0.922 Se
0.667 0.333 0.589 Se
0.667 0.333 0.802 Se
```

Values from the calculation:
ΔE_f (raw): 0.3078 eV/atom
Offset from the most stable computed form: 305 meV per atom
Total DFT energy (no corrections): -5.1381 eV/atom
Fermi-level density of states: 8.30 states/eV per cell

---

First-principles (GGA-PBE) data for a relaxed structure of NdHoAlCu, as listed in the Alexandria database.

```
NdHoAlCu
1.0
7.241 0.000 0.000
0.000 7.241 0.000
0.000 0.000 7.241
Nd Ho Al Cu
4 4 4 4
direct
0.000 0.000 0.000 Nd
0.000 0.500 0.500 Nd
0.500 0.000 0.500 Nd
0.500 0.500 0.000 Nd
0.000 0.000 0.500 Ho
0.000 0.500 0.000 Ho
0.500 0.000 0.000 Ho
0.500 0.500 0.500 Ho
0.250 0.250 0.750 Al
0.250 0.750 0.250 Al
0.750 0.250 0.250 Al
0.750 0.750 0.750 Al
0.250 0.250 0.250 Cu
0.250 0.750 0.750 Cu
0.750 0.250 0.750 Cu
0.750 0.750 0.250 Cu
```

Values from the calculation:
Total DFT energy (no corrections): -4.5360 eV/atom
Fermi-level density of states: 17.41 states/eV per cell

---

First-principles (GGA-PBE) data for a relaxed structure of Zn2NiMo, as listed in the Alexandria database.

```
Zn2NiMo
1.0
8.648 0.000 0.000
0.000 2.658 0.000
-0.717 0.000 4.828
Zn Ni Mo
4 2 2
direct
0.000 0.000 0.000 Zn
0.248 0.000 0.777 Zn
0.500 0.500 0.000 Zn
0.748 0.500 0.777 Zn
0.243 0.500 0.278 Ni
0.743 0.000 0.278 Ni
0.492 0.000 0.488 Mo
0.992 0.500 0.488 Mo
```

Values from the calculation:
Offset from the most stable computed form: 141 meV per atom
Total DFT energy (no corrections): -4.7055 eV/atom
Fermi-level density of states: 5.03 states/eV per cell

---

First-principles (GGA-PBE) data for a relaxed structure of KLaIr2, as listed in the Alexandria database.

```
KLaIr2
1.0
4.574 0.000 0.000
0.000 4.589 0.000
-2.280 0.000 5.519
K La Ir
1 1 2
direct
0.000 0.000 0.000 K
0.713 0.500 0.426 La
0.296 0.000 0.591 Ir
0.366 0.500 0.732 Ir
```

Values from the calculation:
Offset from the most stable computed form: 137 meV per atom
Total DFT energy (no corrections): -5.9586 eV/atom
Fermi-level density of states: 2.52 states/eV per cell

---

First-principles (GGA-PBE) data for a relaxed structure of Be2Pt, as listed in the Alexandria database.

```
Be2Pt
1.0
2.709 0.000 0.000
0.000 13.914 0.000
0.000 0.000 3.606
Be Pt
8 4
direct
0.000 0.051 0.250 Be
0.000 0.414 0.250 Be
0.000 0.586 0.750 Be
0.000 0.949 0.750 Be
0.500 0.086 0.750 Be
0.500 0.449 0.750 Be
0.500 0.551 0.250 Be
0.500 0.914 0.250 Be
0.000 0.313 0.750 Pt
0.000 0.687 0.250 Pt
0.500 0.187 0.250 Pt
0.500 0.813 0.750 Pt
```

Values from the calculation:
Offset from the most stable computed form: 388 meV per atom
Total DFT energy (no corrections): -4.7573 eV/atom
Fermi-level density of states: 2.87 states/eV per cell

---

First-principles (GGA-PBE) data for a relaxed structure of VIn2Fe, as listed in the Alexandria database.

```
VIn2Fe
1.0
6.483 0.000 0.000
0.000 6.483 0.000
0.000 0.000 6.483
V In Fe
4 8 4
direct
0.000 0.000 0.000 V
0.000 0.500 0.500 V
0.500 0.000 0.500 V
0.500 0.500 0.000 V
0.250 0.250 0.250 In
0.250 0.250 0.750 In
0.250 0.750 0.250 In
0.250 0.750 0.750 In
0.750 0.250 0.250 In
0.750 0.250 0.750 In
0.750 0.750 0.250 In
0.750 0.750 0.750 In
0.000 0.000 0.500 Fe
0.000 0.500 0.000 Fe
0.500 0.000 0.000 Fe
0.500 0.500 0.500 Fe
```

Values from the calculation:
Offset from the most stable computed form: 0 meV per atom
Total DFT energy (no corrections): -5.4131 eV/atom
Fermi-level density of states: 19.09 states/eV per cell

---

First-principles (GGA-PBE) data for a relaxed structure of PmHo2Ge, as listed in the Alexandria database.

```
PmHo2Ge
1.0
3.817 0.000 0.000
0.000 3.817 0.000
0.000 0.000 7.441
Pm Ho Ge
1 2 1
direct
0.000 0.000 0.000 Pm
0.500 0.500 0.301 Ho
0.500 0.500 0.699 Ho
0.000 0.000 0.500 Ge
```

Values from the calculation:
Offset from the most stable computed form: 147 meV per atom
Total DFT energy (no corrections): -4.9318 eV/atom
Fermi-level density of states: 5.32 states/eV per cell

---

First-principles (GGA-PBE) data for a relaxed structure of GaCu2Se, as listed in the Alexandria database.

```
GaCu2Se
1.0
6.373 0.000 0.000
0.000 6.373 0.000
0.000 0.000 6.373
Ga Cu Se
4 8 4
direct
0.000 0.000 0.000 Ga
0.000 0.500 0.500 Ga
0.500 0.000 0.500 Ga
0.500 0.500 0.000 Ga
0.250 0.250 0.250 Cu
0.250 0.250 0.750 Cu
0.250 0.750 0.250 Cu
0.250 0.750 0.750 Cu
0.750 0.250 0.250 Cu
0.750 0.250 0.750 Cu
0.750 0.750 0.250 Cu
0.750 0.750 0.750 Cu
0.000 0.000 0.500 Se
0.000 0.500 0.000 Se
0.500 0.000 0.000 Se
0.500 0.500 0.500 Se
```

Values from the calculation:
ΔE_f (raw): 0.1566 eV/atom
Total DFT energy (no corrections): -3.5194 eV/atom
Fermi-level density of states: 5.26 states/eV per cell

---

First-principles (GGA-PBE) data for a relaxed structure of Al4IrPd, as listed in the Alexandria database.

```
Al4IrPd
1.0
-4.488 4.488 2.909
4.488 -4.488 2.909
4.488 4.488 -2.909
Al Ir Pd
8 2 2
direct
0.224 0.000 0.224 Al
0.242 0.514 0.273 Al
0.242 0.969 0.727 Al
0.264 0.492 0.773 Al
0.719 0.492 0.227 Al
0.750 0.026 0.276 Al
0.750 0.474 0.724 Al
0.776 0.000 0.776 Al
0.248 0.248 0.000 Ir
0.998 0.498 0.500 Ir
0.495 0.995 0.500 Pd
0.745 0.745 0.000 Pd
```

Values from the calculation:
Offset from the most stable computed form: 317 meV per atom
Total DFT energy (no corrections): -5.1896 eV/atom
Fermi-level density of states: 5.44 states/eV per cell

---

First-principles (GGA-PBE) data for a relaxed structure of Li4Mn3NbSe8, as listed in the Alexandria database.

```
Li4Mn3NbSe8
1.0
3.788 2.187 6.301
-3.788 2.187 6.301
0.000 -4.374 6.301
Li Mn Nb Se
4 3 1 8
direct
0.000 0.000 0.000 Li
0.000 0.500 0.500 Li
0.500 0.000 0.500 Li
0.500 0.500 0.000 Li
0.000 0.000 0.500 Mn
0.000 0.500 0.000 Mn
0.500 0.000 0.000 Mn
0.500 0.500 0.500 Nb
0.241 0.241 0.241 Se
0.250 0.744 0.744 Se
0.256 0.256 0.750 Se
0.256 0.750 0.256 Se
0.744 0.250 0.744 Se
0.744 0.744 0.250 Se
0.750 0.256 0.256 Se
0.759 0.759 0.759 Se
```

Values from the calculation:
ΔE_f (raw): -0.7840 eV/atom
Total DFT energy (no corrections): -5.3534 eV/atom
Fermi-level density of states: 6.21 states/eV per cell

---

First-principles (GGA-PBE) data for a relaxed structure of CdW2Cl2, as listed in the Alexandria database.

```
CdW2Cl2
1.0
9.598 0.000 0.000
0.000 9.598 0.000
0.000 0.000 2.857
Cd W Cl
2 4 4
direct
0.000 0.000 0.000 Cd
0.500 0.500 0.000 Cd
0.089 0.411 0.000 W
0.411 0.911 0.000 W
0.589 0.089 0.000 W
0.911 0.589 0.000 W
0.236 0.264 0.500 Cl
0.264 0.764 0.500 Cl
0.736 0.236 0.500 Cl
0.764 0.736 0.500 Cl
```

Values from the calculation:
ΔE_f (raw): 0.9560 eV/atom
Offset from the most stable computed form: 143 meV per atom
Total DFT energy (no corrections): -5.1470 eV/atom
Fermi-level density of states: 9.76 states/eV per cell